Record 1
Material: Th4IrRh2Au
Method: DFT, PBE
State: optimized geometry

a = 4.125 Å, b = 7.259 Å, c = 7.229 Å
α = 71.42°, β = 90.00°, γ = 90.00°
Atoms (fractional coordinates):
Th (0.000, 0.755, 0.758)
Th (0.000, 0.245, 0.242)
Th (0.500, 0.765, 0.234)
Th (0.500, 0.235, 0.766)
Ir (0.500, 0.500, 0.000)
Rh (0.000, 0.000, 0.000)
Rh (0.500, 0.000, 0.500)
Au (0.000, 0.500, 0.500)

Properties
Calculated formation energy   -0.853 eV per atom
D(E_F)   3.76 states/eV/cell
VASP energy   -63.3 eV/f.u.
Space group   No. 10

---

Record 2
Material: IrRuAu4
Method: DFT, PBE
State: optimized geometry

a = 5.362 Å, b = 5.362 Å, c = 5.362 Å
α = 60.00°, β = 60.00°, γ = 60.00°
Atoms (fractional coordinates):
Ir (0.750, 0.750, 0.750)
Ru (0.000, 0.000, 0.000)
Au (0.875, 0.375, 0.375)
Au (0.375, 0.375, 0.875)
Au (0.375, 0.875, 0.375)
Au (0.375, 0.375, 0.375)

Properties
Calculated formation energy   0.810 eV per atom
D(E_F)   3.94 states/eV/cell
VASP energy   -26.4 eV/f.u.
Space group   No. 216

---

Record 3
Material: Ir4RuAu
Method: DFT, PBE
State: optimized geometry

a = 5.169 Å, b = 5.169 Å, c = 5.169 Å
α = 60.00°, β = 60.00°, γ = 60.00°
Atoms (fractional coordinates):
Ir (0.625, 0.625, 0.125)
Ir (0.625, 0.125, 0.625)
Ir (0.625, 0.625, 0.625)
Ir (0.125, 0.625, 0.625)
Ru (0.250, 0.250, 0.250)
Au (0.000, 0.000, 0.000)

Properties
Calculated formation energy   0.670 eV per atom
D(E_F)   10.56 states/eV/cell
VASP energy   -44.0 eV/f.u.
Space group   No. 216

---

Record 4
Material: IrRuAu3
Method: DFT, PBE
State: optimized geometry

a = 4.929 Å, b = 4.929 Å, c = 4.929 Å
α = 90.00°, β = 90.00°, γ = 90.00°
Atoms (fractional coordinates):
Ru (0.000, 0.000, 0.000)
Ir (0.500, 0.500, 0.500)
Au (0.000, 0.500, 0.000)
Au (0.000, 0.000, 0.500)
Au (0.500, 0.000, 0.000)

Properties
Calculated formation energy   1.907 eV per atom
D(E_F)   9.47 states/eV/cell
VASP energy   -18.4 eV/f.u.
Space group   No. 221
Excess energy over the best structure of this formula in the dataset   0.239 eV per atom

---

Record 5
Material: IrRuAu3
Method: DFT, PBE
State: optimized geometry

a = 4.995 Å, b = 4.995 Å, c = 4.995 Å
α = 90.00°, β = 90.00°, γ = 90.00°
Atoms (fractional coordinates):
Ru (0.500, 0.500, 0.500)
Ir (0.000, 0.000, 0.000)
Au (0.000, 0.500, 0.000)
Au (0.000, 0.000, 0.500)
Au (0.500, 0.000, 0.000)

Properties
Calculated formation energy   1.668 eV per atom
D(E_F)   10.08 states/eV/cell
VASP energy   -19.6 eV/f.u.
Space group   No. 221
Excess energy over the best structure of this formula in the dataset   0.000 eV per atom

---

Record 6
Material: Ti2IrRuAu
Method: DFT, PBE
State: optimized geometry

a = 4.697 Å, b = 4.784 Å, c = 4.697 Å
α = 90.00°, β = 90.00°, γ = 90.00°
Atoms (fractional coordinates):
Ru (0.000, 0.500, 0.000)
Ir (0.500, 0.500, 0.500)
Au (0.000, 0.000, 0.000)
Ti (0.000, 0.000, 0.500)
Ti (0.500, 0.000, 0.000)

Properties
Calculated formation energy   1.478 eV per atom
D(E_F)   11.17 states/eV/cell
VASP energy   -29.8 eV/f.u.
Space group   No. 123

---

Record 7
Material: Ir2RuWAu
Method: DFT, PBE
State: optimized geometry

a = 4.745 Å, b = 4.645 Å, c = 4.745 Å
α = 90.00°, β = 90.00°, γ = 90.00°
Atoms (fractional coordinates):
Ru (0.000, 0.500, 0.000)
Ir (0.000, 0.000, 0.500)
Ir (0.500, 0.000, 0.000)
Au (0.500, 0.500, 0.500)
W (0.000, 0.000, 0.000)

Properties
Calculated formation energy   1.633 eV per atom
D(E_F)   5.77 states/eV/cell
VASP energy   -35.1 eV/f.u.
Space group   No. 123

---

Record 8
Material: IrAuS2
Method: DFT, PBE
State: optimized geometry

a = 7.264 Å, b = 3.572 Å, c = 13.259 Å
α = 90.00°, β = 90.00°, γ = 90.00°
Atoms (fractional coordinates):
S (0.635, 0.250, 0.564)
S (0.865, 0.750, 0.064)
S (0.365, 0.750, 0.436)
S (0.135, 0.250, 0.936)
S (0.251, 0.250, 0.656)
S (0.249, 0.750, 0.156)
S (0.749, 0.750, 0.344)
S (0.751, 0.250, 0.844)
Ir (0.560, 0.250, 0.393)
Ir (0.940, 0.750, 0.893)
Ir (0.440, 0.750, 0.607)
Ir (0.060, 0.250, 0.107)
Au (0.955, 0.250, 0.588)
Au (0.545, 0.750, 0.088)
Au (0.045, 0.750, 0.412)
Au (0.455, 0.250, 0.912)

Properties
Uncorrected formation energy   -0.35 eV per formula unit
D(E_F)   0.00 states/eV/cell
VASP energy   -20.7 eV/f.u.
Space group   No. 62

---

Record 9
Material: IrAuS2
Method: DFT, PBE
State: optimized geometry

a = 17.459 Å, b = 7.037 Å, c = 7.037 Å
α = 96.55°, β = 119.70°, γ = 60.30°
Atoms (fractional coordinates):
S (0.034, 0.734, 0.698)
S (0.466, 0.198, 0.234)
S (0.966, 0.266, 0.302)
S (0.534, 0.802, 0.766)
S (0.784, 0.207, 0.320)
S (0.716, 0.820, 0.707)
S (0.216, 0.793, 0.680)
S (0.284, 0.180, 0.293)
S (0.469, 0.679, 0.274)
S (0.031, 0.774, 0.179)
S (0.531, 0.321, 0.726)
S (0.969, 0.226, 0.821)
S (0.750, 0.288, 0.788)
S (0.250, 0.712, 0.212)
S (0.750, 0.605, 0.105)
S (0.250, 0.395, 0.895)
Ir (0.350, 0.561, 0.046)
Ir (0.150, 0.546, 0.061)
Ir (0.650, 0.439, 0.954)
Ir (0.850, 0.454, 0.939)
Ir (0.370, 0.033, 0.085)
Ir (0.130, 0.585, 0.533)
Ir (0.630, 0.967, 0.915)
Ir (0.870, 0.415, 0.467)
Au (0.132, 0.173, 0.059)
Au (0.368, 0.559, 0.673)
Au (0.868, 0.827, 0.941)
Au (0.632, 0.441, 0.327)
Au (0.356, 0.007, 0.684)
Au (0.144, 0.184, 0.507)
Au (0.644, 0.993, 0.316)
Au (0.856, 0.816, 0.493)

Properties
Uncorrected formation energy   0.24 eV per formula unit
D(E_F)   18.37 states/eV/cell
VASP energy   -20.2 eV/f.u.
Space group   No. 15

---

Record 10
Material: IrAuS2
Method: DFT, PBE
State: optimized geometry

a = 5.892 Å, b = 5.892 Å, c = 6.293 Å
α = 62.09°, β = 62.09°, γ = 90.00°
Atoms (fractional coordinates):
S (0.588, 0.125, 0.250)
S (0.162, 0.625, 0.250)
S (0.375, 0.412, 0.750)
S (0.875, 0.838, 0.750)
Ir (0.500, 0.500, 0.000)
Ir (0.250, 0.750, 0.500)
Au (0.000, 0.000, 0.000)
Au (0.750, 0.250, 0.500)

Properties
Uncorrected formation energy   0.53 eV per formula unit
D(E_F)   4.60 states/eV/cell
VASP energy   -19.9 eV/f.u.
Space group   No. 122

---

Record 11
Material: IrAuS2
Method: DFT, PBE
State: optimized geometry

a = 7.774 Å, b = 3.607 Å, c = 3.607 Å
α = 123.50°, β = 116.56°, γ = 63.44°
Atoms (fractional coordinates):
S (0.686, 0.703, 0.297)
S (0.314, 0.297, 0.703)
Ir (0.500, 0.500, 0.500)
Au (0.000, 0.000, 0.000)

Properties
Uncorrected formation energy   0.07 eV per formula unit
D(E_F)   0.31 states/eV/cell
VASP energy   -20.3 eV/f.u.
Space group   No. 12

---

Record 12
Material: IrAuS2
Method: DFT, PBE
State: optimized geometry

a = 7.872 Å, b = 7.872 Å, c = 6.175 Å
α = 50.40°, β = 50.40°, γ = 90.00°
Atoms (fractional coordinates):
S (0.835, 0.335, 0.000)
S (0.165, 0.665, 0.000)
S (0.335, 0.165, 0.000)
S (0.665, 0.835, 0.000)
Ir (0.750, 0.250, 0.500)
Ir (0.250, 0.750, 0.500)
Au (0.750, 0.750, 0.500)
Au (0.250, 0.250, 0.500)

Properties
Uncorrected formation energy   0.91 eV per formula unit
D(E_F)   3.41 states/eV/cell
VASP energy   -19.5 eV/f.u.
Space group   No. 140